[1]
Compound: NaCuI3
Source: Alexandria
Functional: PBE
Structure: relaxed

Unit cell a=5.5441 b=5.5441 c=5.5441 alpha=90.00 beta=90.00 gamma=90.00
Last column: nearest neighbours and their distance in Å.
Sites, in units of the cell vectors:
I 0.5000 0.0000 0.0000  2 Cu 2.77
I 0.0000 0.5000 0.0000  2 Cu 2.77
I 0.0000 0.0000 0.5000  2 Cu 2.77
Cu 0.0000 0.0000 0.0000  6 I 2.77
Na 0.5000 0.5000 0.5000  12 I 3.92

## Properties
polymorph energy (0 for the lowest one): 100.4 meV/atom
raw formation energy: -37.4 kJ/mol of atoms
spin magnetization: 0.00 μB/f.u.

***

[2]
Compound: Ba3CuAu
Source: Alexandria
Functional: PBE
Structure: relaxed

Unit cell a=4.4286 b=9.8921 c=9.9192 alpha=99.82 beta=90.00 gamma=102.93
Last column: nearest neighbours and their distance in Å.
Sites, in units of the cell vectors:
Cu 0.2064 0.3834 0.7473  2 Cu 2.48
Cu 0.7453 0.4614 0.6754  2 Cu 2.48
Ba 0.9255 0.8156 0.3634  4 Au 3.41-3.47
Ba 0.0330 0.0310 0.0575  4 Au 3.41-3.47
Ba 0.5811 0.1303 0.6679  3 Cu 3.18-3.29, 1 Au 3.37
Ba 0.1975 0.3619 0.4096  3 Cu 3.32-3.45, 2 Au 3.47-3.48
Ba 0.7589 0.4843 0.0124  3 Cu 3.31-3.45, 2 Au 3.47-3.48
Ba 0.3740 0.7151 0.7533  3 Cu 3.19-3.29, 1 Au 3.37
Au 0.5587 0.0826 0.3230  7 Ba 3.37-3.48, 1 Au 3.47
Au 0.3997 0.7640 0.0980  7 Ba 3.37-3.48, 1 Au 3.47

## Properties
polymorph energy (0 for the lowest one): 0.0 meV/atom
formation energy: -298 meV per atom
spin magnetization: 0.00 μB/f.u.

***

[3]
Compound: LaCeEr2
Source: Alexandria
Functional: PBE
Structure: relaxed

Unit cell a=4.9181 b=5.1016 c=5.1016 alpha=90.00 beta=90.00 gamma=90.00
Last column: nearest neighbours and their distance in Å.
Sites, in units of the cell vectors:
Ce 0.5000 0.5000 0.5000  8 Er 3.54, 4 La 3.61
Er 0.0000 0.5000 0.0000  4 La 3.54, 4 Ce 3.54, 4 Er 3.61
Er 0.0000 0.0000 0.5000  4 La 3.54, 4 Ce 3.54, 4 Er 3.61
La 0.5000 0.0000 0.0000  8 Er 3.54, 4 Ce 3.61

## Properties
polymorph energy (0 for the lowest one): 17.4 meV/atom
formation energy: 80 meV per atom
spin magnetization: 0.69 μB/f.u.

***

[4]
Compound: BaZrSb2
Source: Alexandria
Functional: PBE
Structure: relaxed

Unit cell a=5.4966 b=5.4966 c=5.4966 alpha=60.00 beta=60.00 gamma=60.00
Last column: nearest neighbours and their distance in Å.
Sites, in units of the cell vectors:
Sb 0.2500 0.2500 0.2500  4 Zr 3.37, 4 Ba 3.37
Sb 0.7500 0.7500 0.7500  4 Ba 3.37, 4 Zr 3.37
Zr 0.0000 0.0000 0.0000  8 Sb 3.37
Ba 0.5000 0.5000 0.5000  8 Sb 3.37

## Properties
polymorph energy (0 for the lowest one): 442.4 meV/atom
raw formation energy: -34.0 kJ/mol of atoms
spin magnetization: 0.75 μB/f.u.

***

[5]
Compound: Zr3BiH
Source: Alexandria
Functional: PBE
Structure: relaxed

Unit cell a=5.4731 b=5.4731 c=5.4731 alpha=90.00 beta=90.00 gamma=90.00
Last column: nearest neighbours and their distance in Å.
Sites, in units of the cell vectors:
Zr 0.5000 0.0000 0.0000  2 Bi 2.74
Zr 0.0000 0.5000 0.0000  2 Bi 2.74
Zr 0.0000 0.0000 0.5000  2 Bi 2.74
Bi 0.0000 0.0000 0.0000  6 Zr 2.74
H 0.5000 0.5000 0.5000  12 Zr 3.87

## Properties
polymorph energy (0 for the lowest one): 2070.4 meV/atom
spin magnetization: 0.00 μB/f.u.

***

[6]
Compound: K3Tm2GaO6
Source: Alexandria
Functional: PBE
Structure: relaxed

Unit cell a=5.7491 b=5.7491 c=6.4993 alpha=98.45 beta=98.45 gamma=120.01
Last column: nearest neighbours and their distance in Å.
Sites, in units of the cell vectors:
O 0.0601 0.3757 0.1807  1 Ga 2.13, 2 Tm 2.27
O 0.6243 0.9399 0.8193  1 Ga 2.13, 2 Tm 2.27
O 0.3757 0.0601 0.1807  1 Ga 2.13, 2 Tm 2.27
O 0.2554 0.2554 0.8202  1 Ga 2.13, 2 Tm 2.27
O 0.7446 0.7446 0.1798  1 Ga 2.13, 2 Tm 2.27
O 0.9399 0.6243 0.8193  1 Ga 2.13, 2 Tm 2.27
Tm 0.6668 0.3332 0.0000  6 O 2.27
Tm 0.3332 0.6668 0.0000  6 O 2.27
K 0.8363 0.1637 0.5000  6 O 2.71-2.85
K 0.5000 0.5000 0.5000  6 O 2.73-2.83
K 0.1637 0.8363 0.5000  6 O 2.71-2.85
Ga 0.0000 0.0000 0.0000  6 O 2.13

## Properties
raw formation energy: -230.4 kJ/mol of atoms
spin magnetization: 0.00 μB/f.u.

***

[7]
Compound: V2Cu3Sb4
Source: Alexandria
Functional: PBE
Structure: relaxed

Unit cell a=8.5677 b=8.5677 c=5.3011 alpha=90.00 beta=90.00 gamma=120.00
Last column: nearest neighbours and their distance in Å.
Sites, in units of the cell vectors:
Cu 0.0000 0.5000 0.0000  2 Cu 2.65, 6 Sb 2.81-2.88, 2 V 2.81
Cu 0.0000 0.5000 0.5000  2 Cu 2.65, 6 Sb 2.81-2.88, 2 V 2.81
Cu 0.5000 0.5000 0.5000  2 Cu 2.65, 6 Sb 2.81-2.88, 2 V 2.81
Cu 0.5000 0.0000 0.0000  2 Cu 2.65, 6 Sb 2.81-2.88, 2 V 2.81
Cu 0.5000 0.0000 0.5000  2 Cu 2.65, 6 Sb 2.81-2.88, 2 V 2.81
Cu 0.5000 0.5000 0.0000  2 Cu 2.65, 6 Sb 2.81-2.88, 2 V 2.81
Sb 0.6667 0.3333 0.2500  2 V 2.65, 6 Cu 2.81
Sb 0.8443 0.1557 0.7500  3 V 2.64-2.66, 4 Cu 2.88
Sb 0.1557 0.3115 0.2500  3 V 2.64-2.66, 4 Cu 2.88
Sb 0.6885 0.8443 0.2500  3 V 2.64-2.66, 4 Cu 2.88
Sb 0.3333 0.6667 0.7500  2 V 2.65, 6 Cu 2.81
Sb 0.3115 0.1557 0.7500  3 V 2.64-2.66, 4 Cu 2.88
Sb 0.1557 0.8443 0.2500  3 V 2.64-2.66, 4 Cu 2.88
Sb 0.8443 0.6885 0.7500  3 V 2.64-2.66, 4 Cu 2.88
V 0.0000 0.0000 0.0000  2 V 2.65, 6 Sb 2.66
V 0.0000 0.0000 0.5000  2 V 2.65, 6 Sb 2.66
V 0.6667 0.3333 0.7500  5 Sb 2.64-2.65, 6 Cu 2.81
V 0.3333 0.6667 0.2500  5 Sb 2.64-2.65, 6 Cu 2.81

## Properties
raw formation energy: -6.7 kJ/mol of atoms
spin magnetization: 0.00 μB/f.u.

***

[8]
Compound: Pm4PtPb2
Source: Alexandria
Functional: PBE
Structure: relaxed

Unit cell a=4.6678 b=8.9747 c=8.1641 alpha=136.67 beta=106.61 gamma=90.00
Last column: nearest neighbours and their distance in Å.
Sites, in units of the cell vectors:
Pm 0.6705 0.2784 0.3411  2 Pt 2.95, 2 Pb 3.29
Pm 0.9260 0.2074 0.8520  1 Pt 2.84
Pm 0.0740 0.7926 0.1480  1 Pt 2.84
Pm 0.3295 0.7216 0.6589  2 Pt 2.95, 2 Pb 3.29
Pb 0.6474 0.6355 0.2948  1 Pb 3.19, 8 Pm 3.29-3.49
Pb 0.3526 0.3645 0.7052  1 Pb 3.19, 8 Pm 3.29-3.49
Pt 0.0000 0.0000 0.0000  6 Pm 2.84-2.95

## Properties
polymorph energy (0 for the lowest one): 0.0 meV/atom
formation energy: -660 meV per atom
spin magnetization: 0.00 μB/f.u.

***

[9]
Compound: CaPPt2Rh
Source: Alexandria
Functional: PBE
Structure: relaxed

Unit cell a=4.9335 b=4.6630 c=4.9335 alpha=90.00 beta=90.00 gamma=90.00
Last column: nearest neighbours and their distance in Å.
Sites, in units of the cell vectors:
Pt 0.0000 0.0000 0.5000  2 Ca 2.47
Pt 0.5000 0.0000 0.0000  2 Ca 2.47
Rh 0.0000 0.5000 0.0000  2 Ca 2.33
P 0.5000 0.5000 0.5000  8 Pt 3.39, 4 Rh 3.49
Ca 0.0000 0.0000 0.0000  2 Rh 2.33, 4 Pt 2.47

## Properties
formation energy: 1593 meV per atom
spin magnetization: 0.00 μB/f.u.

***

[10]
Compound: Li4CaAg3F12
Source: Alexandria
Functional: PBE
Structure: relaxed

Unit cell a=6.6856 b=6.6856 c=6.6856 alpha=109.47 beta=109.47 gamma=109.47
Last column: nearest neighbours and their distance in Å.
Sites, in units of the cell vectors:
Ca 0.0000 0.0000 0.0000  12 F 2.64
F 0.4701 0.2900 0.1801  2 Li 2.03, 1 Ag 2.14
F 0.8199 0.5299 0.7100  2 Li 2.03, 1 Ag 2.14
F 0.2900 0.1801 0.4701  2 Li 2.03, 1 Ag 2.14
F 0.1801 0.4701 0.2900  2 Li 2.03, 1 Ag 2.14
F 0.8901 0.7100 0.1801  2 Li 2.03, 1 Ag 2.14
F 0.7100 0.1801 0.8901  2 Li 2.03, 1 Ag 2.14
F 0.8199 0.1099 0.2900  2 Li 2.03, 1 Ag 2.14
F 0.7100 0.8199 0.5299  2 Li 2.03, 1 Ag 2.14
F 0.1801 0.8901 0.7100  2 Li 2.03, 1 Ag 2.14
F 0.2900 0.8199 0.1099  2 Li 2.03, 1 Ag 2.14
F 0.5299 0.7100 0.8199  2 Li 2.03, 1 Ag 2.14
F 0.1099 0.2900 0.8199  2 Li 2.03, 1 Ag 2.14
Ag 0.0000 0.5000 0.5000  4 F 2.14
Ag 0.5000 0.0000 0.5000  4 F 2.14
Ag 0.5000 0.5000 0.0000  4 F 2.14
Li 0.0000 0.5000 0.0000  6 F 2.03
Li 0.5000 0.5000 0.5000  6 F 2.03
Li 0.0000 0.0000 0.5000  6 F 2.03
Li 0.5000 0.0000 0.0000  6 F 2.03

## Properties
raw formation energy: -218.4 kJ/mol of atoms
spin magnetization: 3.00 μB/f.u.

***

[11]
Compound: HgSe
Source: Alexandria
Functional: PBE
Structure: relaxed

Unit cell a=5.8160 b=5.8160 c=5.8160 alpha=141.90 beta=108.85 gamma=83.69
Last column: nearest neighbours and their distance in Å.
Sites, in units of the cell vectors:
Se 0.2780 0.7780 0.5000  2 Se 2.54
Se 0.4720 0.4720 0.0000  2 Se 2.54
Hg 0.7388 0.2388 0.5000  2 Se 2.99, 2 Hg 3.03
Hg 0.0112 0.0112 0.0000  2 Se 2.99, 2 Hg 3.03

## Properties
raw formation energy: 10.2 kJ/mol of atoms
spin magnetization: 0.00 μB/f.u.

***

[12]
Compound: SrSnPd2Br
Source: Alexandria
Functional: PBE
Structure: relaxed

Unit cell a=5.0299 b=5.8116 c=5.0299 alpha=90.00 beta=90.00 gamma=90.00
Last column: nearest neighbours and their distance in Å.
Sites, in units of the cell vectors:
Sn 0.0000 0.0000 0.0000  4 Pd 2.51
Br 0.0000 0.5000 0.0000  2 Sn 2.91
Pd 0.0000 0.0000 0.5000  2 Sn 2.51
Pd 0.5000 0.0000 0.0000  2 Sn 2.51
Sr 0.5000 0.5000 0.5000  4 Br 3.56, 8 Pd 3.84

## Properties
raw formation energy: -39.6 kJ/mol of atoms
spin magnetization: 0.00 μB/f.u.

***

| no. | E (eV per cell) |
| --- | --- |
| 1 | -12.00 |
| 2 | -29.26 |
| 3 | -19.67 |
| 4 | -20.12 |
| 5 | -24.24 |
| 6 | -73.67 |
| 7 | -95.28 |
| 8 | -37.08 |
| 9 | -18.88 |
| 10 | -85.93 |
| 11 | -7.15 |
| 12 | -19.79 |